# 1
Crystalline ScCuGe at its relaxed geometry, computed with PBE.

a = 3.299 Å, b = 8.437 Å, c = 4.140 Å
α = 60.62°, β = 90.00°, γ = 90.00°
Positions (direct):
Cu (0.100, 0.494, 0.495)
Cu (0.100, 0.822, 0.167)
Sc (0.600, 0.158, 0.831)
Sc (0.600, 0.658, 0.831)
Ge (0.100, 0.332, 0.157)
Ge (0.100, 0.984, 0.505)

ΔE_f = -470 meV/atom
VASP energy = -32.9 eV for the cell shown


# 2
Crystalline NiRh2AuBr at its relaxed geometry, computed with PBE.

a = 4.655 Å, b = 4.473 Å, c = 4.655 Å
α = 90.00°, β = 90.00°, γ = 90.00°
Site moments in Bohr magnetons follow the coordinates.
Positions (direct):
Br (0.000, 0.500, 0.000)  0.04
Rh (0.500, 0.000, 0.000)  0.71
Rh (0.000, 0.000, 0.500)  1.16
Ni (0.000, 0.000, 0.000)  0.58
Au (0.500, 0.500, 0.500)  0.03

VASP energy = -20.1 eV for the cell shown
E_form (uncorrected) = 1.061 eV per atom


VASP energy of number 1 (ScCuGe)? -32.9 eV for the cell shown


What did the first record say?
Crystalline ScCuGe at its relaxed geometry, computed with PBE.

a = 3.299 Å, b = 8.437 Å, c = 4.140 Å
α = 60.62°, β = 90.00°, γ = 90.00°
Positions (direct):
Cu (0.100, 0.494, 0.495)
Cu (0.100, 0.822, 0.167)
Sc (0.600, 0.158, 0.831)
Sc (0.600, 0.658, 0.831)
Ge (0.100, 0.332, 0.157)
Ge (0.100, 0.984, 0.505)

ΔE_f = -470 meV/atom
VASP energy = -32.9 eV for the cell shown


Copy entry 1 word for word.
Crystalline ScCuGe at its relaxed geometry, computed with PBE.

a = 3.299 Å, b = 8.437 Å, c = 4.140 Å
α = 60.62°, β = 90.00°, γ = 90.00°
Positions (direct):
Cu (0.100, 0.494, 0.495)
Cu (0.100, 0.822, 0.167)
Sc (0.600, 0.158, 0.831)
Sc (0.600, 0.658, 0.831)
Ge (0.100, 0.332, 0.157)
Ge (0.100, 0.984, 0.505)

ΔE_f = -470 meV/atom
VASP energy = -32.9 eV for the cell shown